A relaxed structure of Sr2Mg5As3N2. Source: the Alexandria database, functional PBE.

Structure (POSCAR):
```
Sr2Mg5As3N2
1.0
-2.160 2.160 12.326
2.160 -2.160 12.326
2.160 2.160 -12.326
Sr Mg As N
2 5 3 2
Direct
0.193 0.193 0.000
0.807 0.807 0.000
0.000 0.000 0.000
0.087 0.587 0.500
0.413 0.913 0.500
0.587 0.087 0.500
0.913 0.413 0.500
0.330 0.330 0.000
0.500 0.500 0.000
0.670 0.670 0.000
0.085 0.085 0.000
0.915 0.915 0.000
```

Computed properties:
Total DFT energy (no corrections)   -4.32 eV per atom
M_tot   0.00 μB per atom
Formation energy (no corrections)   -0.824 eV/atom

---

A relaxed structure of Y3Os. Source: the Alexandria database, functional PBE.

Structure (POSCAR):
```
Y3Os
1.0
7.272 0.000 0.000
0.000 7.272 0.000
0.000 0.000 7.272
Y Os
12 4
Direct
0.000 0.000 0.000
0.000 0.500 0.500
0.250 0.250 0.250
0.250 0.250 0.750
0.250 0.750 0.250
0.250 0.750 0.750
0.500 0.000 0.500
0.500 0.500 0.000
0.750 0.250 0.250
0.750 0.250 0.750
0.750 0.750 0.250
0.750 0.750 0.750
0.000 0.000 0.500
0.000 0.500 0.000
0.500 0.000 0.000
0.500 0.500 0.500
```

Computed properties:
Total DFT energy (no corrections)   -7.50 eV per atom
M_tot   0.00 μB per atom
Formation energy from the elements   0.153 eV per atom

---

A relaxed structure of K2SiNi. Source: the Alexandria database, functional PBE.

Structure (POSCAR):
```
K2SiNi
1.0
3.156 0.000 0.000
0.000 3.616 0.000
0.000 0.000 20.005
K Si Ni
4 2 2
Direct
0.000 0.000 0.148
0.000 0.000 0.852
0.500 0.500 0.352
0.500 0.500 0.648
0.000 0.500 0.000
0.500 0.000 0.500
0.000 0.500 0.500
0.500 0.000 0.000
```

Computed properties:
Total DFT energy (no corrections)   -3.14 eV per atom
M_tot   0.00 μB per atom
Formation energy (no corrections)   0.206 eV/atom

---

A relaxed structure of PbAu. Source: the Alexandria database, functional PBE.

Structure (POSCAR):
```
PbAu
1.0
4.066 0.000 0.000
0.000 4.376 0.000
-1.930 0.000 5.604
Pb Au
2 2
Direct
0.145 0.250 0.289
0.855 0.750 0.711
0.409 0.250 0.827
0.591 0.750 0.173
```

Computed properties:
Total DFT energy (no corrections)   -3.59 eV per atom
M_tot   0.00 μB per atom
Formation energy from the elements   -0.095 eV per atom

---

A relaxed structure of Pm2Ga5Co3. Source: the Alexandria database, functional PBE.

Structure (POSCAR):
```
Pm2Ga5Co3
1.0
-4.902 6.228 2.796
4.902 -6.228 2.796
4.902 6.228 -2.796
Pm Ga Co
4 10 6
Direct
0.141 0.224 0.365
0.359 0.724 0.083
0.641 0.276 0.917
0.859 0.776 0.635
0.043 0.750 0.293
0.086 0.674 0.760
0.250 0.250 0.000
0.414 0.174 0.587
0.457 0.750 0.707
0.543 0.250 0.293
0.586 0.826 0.413
0.750 0.750 0.000
0.914 0.326 0.240
0.957 0.250 0.707
0.147 0.911 0.058
0.250 0.750 0.500
0.353 0.411 0.763
0.647 0.589 0.237
0.750 0.250 0.500
0.853 0.089 0.942
```

Computed properties:
Total DFT energy (no corrections)   -5.08 eV per atom
M_tot   0.00 μB per atom
Formation energy from the elements   -0.482 eV per atom

---

A relaxed structure of La3InHg2. Source: the Alexandria database, functional PBE.

Structure (POSCAR):
```
La3InHg2
1.0
3.901 0.000 0.000
0.000 3.901 0.000
0.000 0.000 11.924
La In Hg
3 1 2
Direct
0.000 0.000 0.000
0.000 0.000 0.330
0.000 0.000 0.670
0.500 0.500 0.500
0.500 0.500 0.165
0.500 0.500 0.835
```

Computed properties:
Total DFT energy (no corrections)   -3.52 eV per atom
M_tot   0.12 μB per atom
Formation energy from the elements   -0.501 eV per atom

---

Please write out number 1 again, unchanged.
A relaxed structure of Sr2Mg5As3N2. Source: the Alexandria database, functional PBE.

Structure (POSCAR):
```
Sr2Mg5As3N2
1.0
-2.160 2.160 12.326
2.160 -2.160 12.326
2.160 2.160 -12.326
Sr Mg As N
2 5 3 2
Direct
0.193 0.193 0.000
0.807 0.807 0.000
0.000 0.000 0.000
0.087 0.587 0.500
0.413 0.913 0.500
0.587 0.087 0.500
0.913 0.413 0.500
0.330 0.330 0.000
0.500 0.500 0.000
0.670 0.670 0.000
0.085 0.085 0.000
0.915 0.915 0.000
```

Computed properties:
Total DFT energy (no corrections)   -4.32 eV per atom
M_tot   0.00 μB per atom
Formation energy (no corrections)   -0.824 eV/atom

---

total DFT energy (no corrections) of number 5 (Pm2Ga5Co3)?
-5.08 eV per atom